Entry from Alexandria: a relaxed Tb11Mg9Zn4 crystal (GGA-PBE).

Volume in Å³ per cell: 1244
DFT total energy in eV/cell: -148.25
DFT formation energy in eV per atom: -0.16

Structure (CIF):
```
data_Tb11Mg9Zn4
_cell_length_a 14.681
_cell_length_b 22.520
_cell_length_c 3.763
_cell_angle_alpha 90.00
_cell_angle_beta 90.00
_cell_angle_gamma 90.00
_space_group_name_H-M_alt 'C m m m'
_space_group_IT_number 65
_space_group_name_Hall '-C 2 2'
loop_
_atom_site_label
_atom_site_fract_x
_atom_site_fract_y
_atom_site_fract_z
Tb1 0.000 0.000 0.000
Tb2 0.000 0.159 0.000
Tb3 0.000 0.361 0.000
Tb4 0.212 0.500 0.000
Tb5 0.247 0.169 0.000
Mg1 0.000 0.500 0.500
Mg2 0.110 0.257 0.500
Mg3 0.139 0.075 0.500
Zn1 0.144 0.405 0.500
```


Entry from Alexandria: a relaxed AcMg8Ag4 crystal (GGA-PBE).

Volume in Å³ per cell: 573
DFT total energy in eV/cell: -61.51
DFT formation energy in eV per atom: -0.19

Structure (CIF):
```
data_AcMg8Ag4
_cell_length_a 10.026
_cell_length_b 10.026
_cell_length_c 5.698
_cell_angle_alpha 90.00
_cell_angle_beta 90.00
_cell_angle_gamma 90.00
_space_group_name_H-M_alt 'I 4/m m m'
_space_group_IT_number 139
_space_group_name_Hall '-I 4 2'
loop_
_atom_site_label
_atom_site_fract_x
_atom_site_fract_y
_atom_site_fract_z
Ac1 0.000 0.000 0.000
Mg1 0.000 0.219 0.500
Mg2 0.000 0.348 0.000
Ag1 0.250 0.250 0.250
```


Entry from Alexandria: a relaxed TiVH3 crystal (GGA-PBE).

Volume in Å³ per cell: 37
DFT total energy in eV/cell: -27.86

Structure (CIF):
```
data_TiVH3
_cell_length_a 3.346
_cell_length_b 3.346
_cell_length_c 3.346
_cell_angle_alpha 90.00
_cell_angle_beta 90.00
_cell_angle_gamma 90.00
_space_group_name_H-M_alt 'P m -3 m'
_space_group_IT_number 221
_space_group_name_Hall '-P 4 2 3'
loop_
_atom_site_label
_atom_site_fract_x
_atom_site_fract_y
_atom_site_fract_z
Ti1 0.000 0.000 0.000
V1 0.500 0.500 0.500
H1 0.000 0.500 0.500
```